No. 1
Entry from Alexandria: NbTcW3 at its PBEsol-relaxed geometry (SCAN).

Cell lengths 4.635, 4.635, 4.635 Å; angles 90.00, 90.00, 90.00 degrees
Atoms (fractional coordinates):
Nb 0.000 0.000 0.000
Tc 0.500 0.500 0.500
W 0.000 0.000 0.500
W 0.000 0.500 0.000
W 0.500 0.000 0.000

Formation enthalpy at 0 K in meV/atom: 2707



No. 2
Entry from Alexandria: Li3Fe3NiO8 at its PBEsol-relaxed geometry (SCAN).

Cell lengths 5.707, 5.707, 5.707 Å; angles 58.56, 58.56, 58.56 degrees
Atoms (fractional coordinates):
Li 0.000 0.500 0.500
Li 0.500 0.000 0.500
Li 0.500 0.500 0.000
Fe 0.000 0.000 0.500
Fe 0.000 0.500 0.000
Fe 0.500 0.000 0.000
Ni 0.500 0.500 0.500
O 0.238 0.737 0.737
O 0.242 0.242 0.242
O 0.263 0.263 0.762
O 0.263 0.762 0.263
O 0.737 0.238 0.737
O 0.737 0.737 0.238
O 0.758 0.758 0.758
O 0.762 0.263 0.263

ΔE_f (raw) in eV per atom: -1.756
Polymorph energy (0 for the lowest one) in eV per atom: 0.006



No. 3
Entry from Alexandria: Ca2MnFeO5 at its PBEsol-relaxed geometry (SCAN).

Cell lengths 5.309, 14.614, 5.530 Å; angles 90.00, 90.00, 90.00 degrees
Atoms (fractional coordinates):
Ca 0.012 0.108 0.026
Ca 0.012 0.392 0.026
Ca 0.488 0.608 0.526
Ca 0.488 0.892 0.526
Ca 0.512 0.108 0.474
Ca 0.512 0.392 0.474
Ca 0.988 0.608 0.974
Ca 0.988 0.892 0.974
Mn 0.000 0.000 0.500
Mn 0.000 0.500 0.500
Mn 0.500 0.000 0.000
Mn 0.500 0.500 0.000
Fe 0.050 0.250 0.572
Fe 0.450 0.750 0.072
Fe 0.550 0.250 0.928
Fe 0.950 0.750 0.428
O 0.017 0.634 0.559
O 0.017 0.866 0.559
O 0.084 0.750 0.103
O 0.247 0.513 0.247
O 0.247 0.987 0.247
O 0.253 0.013 0.747
O 0.253 0.487 0.747
O 0.416 0.250 0.603
O 0.483 0.134 0.059
O 0.483 0.366 0.059
O 0.517 0.634 0.941
O 0.517 0.866 0.941
O 0.584 0.750 0.397
O 0.747 0.513 0.253
O 0.747 0.987 0.253
O 0.753 0.013 0.753
O 0.753 0.487 0.753
O 0.916 0.250 0.897
O 0.983 0.134 0.441
O 0.983 0.366 0.441

ΔE_f (raw) in eV per atom: -2.550



No. 4
Entry from Alexandria: BaNaEuSi3O9 at its PBEsol-relaxed geometry (SCAN).

Cell lengths 5.665, 11.472, 12.512 Å; angles 90.00, 90.00, 90.00 degrees
Atoms (fractional coordinates):
Ba 0.103 0.117 0.420
Ba 0.397 0.883 0.920
Ba 0.603 0.383 0.580
Ba 0.897 0.617 0.080
Na 0.074 0.783 0.392
Na 0.426 0.217 0.892
Na 0.574 0.717 0.608
Na 0.926 0.283 0.108
Eu 0.114 0.469 0.361
Eu 0.386 0.531 0.861
Eu 0.614 0.031 0.639
Eu 0.886 0.969 0.139
Si 0.098 0.850 0.642
Si 0.100 0.198 0.687
Si 0.106 0.588 0.622
Si 0.394 0.412 0.122
Si 0.400 0.802 0.187
Si 0.402 0.150 0.142
Si 0.598 0.650 0.358
Si 0.600 0.302 0.313
Si 0.606 0.912 0.378
Si 0.894 0.088 0.878
Si 0.900 0.698 0.813
Si 0.902 0.350 0.858
O 0.013 0.495 0.536
O 0.035 0.444 0.932
O 0.087 0.322 0.757
O 0.100 0.096 0.783
O 0.111 0.724 0.572
O 0.131 0.688 0.889
O 0.137 0.122 0.183
O 0.141 0.439 0.177
O 0.156 0.814 0.122
O 0.344 0.186 0.622
O 0.359 0.561 0.677
O 0.363 0.878 0.683
O 0.369 0.312 0.389
O 0.389 0.276 0.072
O 0.400 0.904 0.283
O 0.413 0.678 0.257
O 0.465 0.556 0.432
O 0.487 0.505 0.036
O 0.513 0.005 0.464
O 0.535 0.056 0.068
O 0.587 0.178 0.243
O 0.600 0.404 0.217
O 0.611 0.776 0.428
O 0.631 0.812 0.111
O 0.637 0.378 0.817
O 0.641 0.061 0.823
O 0.656 0.686 0.878
O 0.844 0.314 0.378
O 0.859 0.939 0.323
O 0.863 0.622 0.317
O 0.869 0.188 0.611
O 0.889 0.224 0.928
O 0.900 0.596 0.717
O 0.913 0.822 0.743
O 0.965 0.944 0.568
O 0.987 0.995 0.964

ΔE_f (raw) in eV per atom: -3.071



Per-record uncorrected energy, eV per atom: -52.744 -10.261 -12.202 -15.311